Here is crystalline PuCrPbO6 at its relaxed geometry from Alexandria via LeMat-Bulk. Energies are from PBE+U.

Values from the calculation:
For the calculated total energy, the calculation gives -8.107 eV/atom.

```
PuCrPbO6
1.0
5.365 0.000 0.000
-2.683 4.647 0.000
0.000 0.000 10.826
O Cr Pb Pu
12 2 2 2
Cartesian
1.696 2.934 7.024
4.376 1.711 7.024
3.670 2.934 9.216
0.706 4.645 3.803
-0.706 4.645 1.611
-0.987 1.712 1.611
3.389 0.002 9.216
0.987 1.712 3.803
-1.693 2.936 3.803
1.976 0.002 7.024
0.990 1.711 9.216
1.693 2.936 1.611
0.000 3.098 2.707
2.683 1.549 8.120
0.000 0.000 0.000
0.000 0.000 5.413
0.000 3.098 8.120
2.683 1.549 2.707
```